An optimized crystal structure of MnPd, computed with GGA-PBE.

```
12
Lattice="12.581 0.000 0.000 0.000 2.857 0.000 0.000 0.000 5.306" Properties=species:S:1:pos:R:3 pbc="T T T"
Mn 10.494 0.000 3.630
Mn 2.087 0.000 3.630
Mn 4.203 1.428 0.977
Mn 8.378 1.428 0.977
Mn 0.000 1.428 2.066
Mn 6.290 0.000 4.719
Pd 10.614 0.000 0.981
Pd 1.967 0.000 0.981
Pd 4.324 1.428 3.634
Pd 8.257 1.428 3.634
Pd 0.000 1.428 4.640
Pd 6.290 0.000 1.987
```

Computed properties:
SG = Imm2, No. 44
Fermi-level density of states = 1.2 states/eV/f.u.
Energy relative to the elements = 0.021 eV/atom